# PBE SrCaSb3, relaxed
data_SrCaSb3
_space_group_name_H-M_alt 'P 1'
_space_group_IT_number 1
_cell_length_a 5.9147
_cell_length_b 5.9147
_cell_length_c 5.9147
_cell_angle_alpha 90.00
_cell_angle_beta 90.00
_cell_angle_gamma 90.00
loop_
_space_group_symop_operation_xyz
'x,y,z'
loop_
_atom_site_label
_atom_site_type_symbol
_atom_site_fract_x
_atom_site_fract_y
_atom_site_fract_z
Sb1 Sb 0.0000 0.5000 0.0000
Sb2 Sb 0.0000 0.0000 0.5000
Sb3 Sb 0.5000 0.0000 0.0000
Sr1 Sr 0.0000 0.0000 0.0000
Ca1 Ca 0.5000 0.5000 0.5000
# Raw formation energy   24.4 kJ per mole of atoms
# M_tot   0.00 μB/f.u.